Entry from Alexandria: a relaxed structure of Sc2TaTe2 (PBE).

Its space-group type is P4/mmm, No. 123. The calculation puts the distance to the lowest polymorph of the same formula at 1181 meV/atom.

Lattice parameters (Å, degrees): 5.206 5.206 5.629 90.00 90.00 90.00
Atoms (fractional coordinates):
1 Sc 0.000 0.500 0.000
2 Sc 0.500 0.000 0.000
3 Ta 0.000 0.000 0.500
4 Te 0.500 0.500 0.000
5 Te 0.500 0.500 0.500

Entry from Alexandria: a relaxed structure of Cs2K2Tl (PBE).

Its space-group type is I4/mmm, No. 139. The calculation puts the distance to the lowest polymorph of the same formula at 168 meV/atom. Its energy of formation from the pure elements is 0.14 eV/atom.

Lattice parameters (Å, degrees): 13.222 13.222 13.222 156.23 156.23 33.87
Atoms (fractional coordinates):
1 Cs 0.085 0.085 0.000
2 Cs 0.915 0.915 0.000
3 K 0.250 0.750 0.500
4 K 0.750 0.250 0.500
5 Tl 0.500 0.500 0.000

Entry from Alexandria: a relaxed structure of SrCd2Ru (PBE).

Its space-group type is P4mm, No. 99. Its energy of formation from the pure elements is 0.20 eV/atom.

Lattice parameters (Å, degrees): 3.630 3.630 7.357 90.00 90.00 90.00
Atoms (fractional coordinates):
1 Sr 0.000 0.000 0.000
2 Cd 0.000 0.000 0.572
3 Cd 0.500 0.500 0.338
4 Ru 0.500 0.500 0.721

no.,E (eV per formula unit)
1,-25.44
2,-5.56
3,-11.98